1.
4
Lattice="0.000 3.746 3.746 3.746 0.000 3.746 3.746 3.746 0.000" Properties=species:S:1:pos:R:3 comment="PBE Y2PbCl, relaxed" density_g_cm3=6.643 formation_energy_uncorrected_ev_per_atom=-0.793 n_ef_per_ev_fu=3.73 e_above_lowest_polymorph_ev_per_atom=0.172 volume_a3_per_cell=105.1 pbc="T T T"
Y 1.873 1.873 1.873
Y 5.619 5.619 5.619
Pb 0.000 0.000 0.000
Cl 3.746 3.746 3.746

=====

2.
4
Lattice="3.837 -2.229 0.000 3.837 2.229 0.000 -2.580 0.000 6.445" Properties=species:S:1:pos:R:3 comment="PBE Y2PbCl, relaxed" density_g_cm3=6.334 formation_energy_uncorrected_ev_per_atom=-0.867 n_ef_per_ev_fu=2.36 e_above_lowest_polymorph_ev_per_atom=0.098 volume_a3_per_cell=110.2 pbc="T T T"
Y 1.278 0.000 1.566
Y 3.817 0.000 4.878
Pb -1.290 0.000 3.222
Cl 3.837 0.000 0.000